A plane-wave DFT calculation with PBE+U was carried out for crystalline AcTb2MoO8 at its relaxed geometry.

Calculated values
As for the total energy: -91.973 eV per formula unit.

Cell lengths 5.0757, 7.1738, 5.0762 Å; angles 90.00, 90.35, 90.00 degrees
Space group P2/m (No. 10)
Symmetry-distinct sites (fractional):
1 Ac 0.0000 0.0000 0.0000
2 Tb 0.5000 0.2657 0.5000
3 Mo 0.0000 0.5000 0.0000
4 O 0.1843 0.3014 0.8145
5 O 0.2762 0.5000 0.2748
6 O 0.3278 0.0000 0.3260